# PBE BaMgTi2, relaxed
# Formation energy   0.8842 eV per atom
# Calculated total energy   -15.8 eV/f.u.
data_BaMgTi2
_symmetry_space_group_name_H-M 'P 1'
_symmetry_Int_Tables_number 1
_symmetry_space_group_name_Hall 'P 1'
_cell_length_a 4.760
_cell_length_b 4.760
_cell_length_c 11.569
_cell_angle_alpha 78.13
_cell_angle_beta 78.13
_cell_angle_gamma 90.00
loop_
_atom_site_label
_atom_site_fract_x
_atom_site_fract_y
_atom_site_fract_z
Mg1 0.500 0.500 0.000
Mg2 0.250 0.750 0.500
Ba1 0.000 0.000 0.000
Ba2 0.750 0.250 0.500
Ti1 0.345 0.125 0.250
Ti2 0.405 0.625 0.250
Ti3 0.375 0.655 0.750
Ti4 0.875 0.595 0.750

# PBE Tm8InPb5, relaxed
# Formation energy   -0.4457 eV per atom
# Calculated total energy   -63.3 eV/f.u.
data_Tm8InPb5
_symmetry_space_group_name_H-M 'P 1'
_symmetry_Int_Tables_number 1
_symmetry_space_group_name_Hall 'P 1'
_cell_length_a 8.033
_cell_length_b 8.033
_cell_length_c 8.033
_cell_angle_alpha 109.46
_cell_angle_beta 109.50
_cell_angle_gamma 109.46
loop_
_atom_site_label
_atom_site_fract_x
_atom_site_fract_y
_atom_site_fract_z
Tm1 0.126 0.750 0.017
Tm2 0.983 0.110 0.733
Tm3 0.771 0.250 0.377
Tm4 0.623 0.393 0.873
Tm5 0.480 0.607 0.229
Tm6 0.623 0.890 0.874
Tm7 0.267 0.250 0.377
Tm8 0.127 0.750 0.520
In1 0.250 0.500 0.750
Pb1 0.999 0.375 0.125
Pb2 0.875 0.874 0.250
Pb3 0.750 0.625 0.624
Pb4 0.500 0.000 0.500
Pb5 0.376 0.126 0.001

# PBE Sr3Ge5F12, relaxed
# Calculated total energy   -95.0 eV/f.u.
# Formation energy from raw total energies   -2.221 eV per atom
data_Sr3Ge5F12
_symmetry_space_group_name_H-M 'P 1'
_symmetry_Int_Tables_number 1
_symmetry_space_group_name_Hall 'P 1'
_cell_length_a 12.307
_cell_length_b 12.307
_cell_length_c 12.307
_cell_angle_alpha 109.47
_cell_angle_beta 109.47
_cell_angle_gamma 109.47
loop_
_atom_site_label
_atom_site_fract_x
_atom_site_fract_y
_atom_site_fract_z
Sr1 0.750 0.375 0.125
Sr2 0.875 0.750 0.125
Sr3 0.375 0.750 0.625
Sr4 0.250 0.125 0.375
Sr5 0.875 0.125 0.250
Sr6 0.375 0.625 0.250
Sr7 0.625 0.375 0.750
Sr8 0.125 0.875 0.750
Sr9 0.750 0.875 0.625
Sr10 0.625 0.250 0.375
Sr11 0.125 0.250 0.875
Sr12 0.250 0.625 0.875
Ge1 0.125 0.375 0.250
Ge2 0.000 0.500 0.000
Ge3 0.000 0.000 0.000
Ge4 0.375 0.250 0.125
Ge5 0.500 0.000 0.500
Ge6 0.500 0.500 0.000
Ge7 0.125 0.750 0.375
Ge8 0.750 0.125 0.875
Ge9 0.750 0.625 0.375
Ge10 0.375 0.125 0.750
Ge11 0.625 0.875 0.250
Ge12 0.500 0.500 0.500
Ge13 0.500 0.000 0.000
Ge14 0.000 0.000 0.500
Ge15 0.250 0.375 0.625
Ge16 0.250 0.875 0.125
Ge17 0.000 0.500 0.500
Ge18 0.875 0.250 0.625
Ge19 0.625 0.750 0.875
Ge20 0.875 0.625 0.750
F1 0.717 0.147 0.056
F2 0.339 0.556 0.409
F3 0.944 0.353 0.283
F4 0.556 0.217 0.147
F5 0.570 0.717 0.661
F6 0.944 0.591 0.161
F7 0.339 0.783 0.430
F8 0.091 0.930 0.147
F9 0.591 0.944 0.661
F10 0.717 0.570 0.161
F11 0.783 0.444 0.353
F12 0.839 0.909 0.056
F13 0.147 0.717 0.556
F14 0.353 0.409 0.070
F15 0.070 0.909 0.353
F16 0.430 0.147 0.591
F17 0.070 0.161 0.217
F18 0.444 0.661 0.091
F19 0.839 0.930 0.283
F20 0.147 0.430 0.091
F21 0.353 0.944 0.783
F22 0.591 0.647 0.430
F23 0.909 0.839 0.556
F24 0.783 0.339 0.930
F25 0.409 0.353 0.570
F26 0.091 0.161 0.444
F27 0.217 0.661 0.070
F28 0.161 0.070 0.717
F29 0.647 0.056 0.217
F30 0.853 0.570 0.909
F31 0.556 0.339 0.909
F32 0.570 0.853 0.409
F33 0.930 0.839 0.783
F34 0.930 0.091 0.647
F35 0.853 0.283 0.444
F36 0.161 0.091 0.944
F37 0.647 0.591 0.930
F38 0.409 0.056 0.339
F39 0.283 0.430 0.839
F40 0.217 0.556 0.647
F41 0.909 0.070 0.853
F42 0.661 0.217 0.570
F43 0.444 0.783 0.853
F44 0.056 0.409 0.839
F45 0.430 0.283 0.339
F46 0.056 0.647 0.717
F47 0.661 0.444 0.591
F48 0.283 0.853 0.944

# PBE SmYPb2, relaxed
# Formation energy   -0.4772 eV per atom
# Calculated total energy   -20.5 eV/f.u.
data_SmYPb2
_symmetry_space_group_name_H-M 'P 1'
_symmetry_Int_Tables_number 1
_symmetry_space_group_name_Hall 'P 1'
_cell_length_a 3.577
_cell_length_b 3.577
_cell_length_c 9.021
_cell_angle_alpha 90.00
_cell_angle_beta 90.00
_cell_angle_gamma 90.00
loop_
_atom_site_label
_atom_site_fract_x
_atom_site_fract_y
_atom_site_fract_z
Pb1 0.000 0.000 0.754
Pb2 0.000 0.000 0.246
Y1 0.500 0.500 0.000
Sm1 0.500 0.500 0.500

# PBE CaAg2Pt2, relaxed
# Formation energy   -0.2361 eV per atom
# Calculated total energy   -21.0 eV/f.u.
data_CaAg2Pt2
_symmetry_space_group_name_H-M 'P 1'
_symmetry_Int_Tables_number 1
_symmetry_space_group_name_Hall 'P 1'
_cell_length_a 7.679
_cell_length_b 7.679
_cell_length_c 3.258
_cell_angle_alpha 90.00
_cell_angle_beta 90.00
_cell_angle_gamma 90.00
loop_
_atom_site_label
_atom_site_fract_x
_atom_site_fract_y
_atom_site_fract_z
Ca1 0.000 0.000 0.000
Ca2 0.500 0.500 0.000
Ag1 0.167 0.667 0.500
Ag2 0.667 0.833 0.500
Ag3 0.833 0.333 0.500
Ag4 0.333 0.167 0.500
Pt1 0.371 0.871 0.000
Pt2 0.871 0.629 0.000
Pt3 0.629 0.129 0.000
Pt4 0.129 0.371 0.000

# PBE Pm4Sm6Dy, relaxed
# Formation energy   0.3869 eV per atom
# Calculated total energy   -47.7 eV/f.u.
data_Pm4Sm6Dy
_symmetry_space_group_name_H-M 'P 1'
_symmetry_Int_Tables_number 1
_symmetry_space_group_name_Hall 'P 1'
_cell_length_a 7.623
_cell_length_b 7.623
_cell_length_c 8.648
_cell_angle_alpha 116.15
_cell_angle_beta 116.15
_cell_angle_gamma 90.00
loop_
_atom_site_label
_atom_site_fract_x
_atom_site_fract_y
_atom_site_fract_z
Pm1 0.093 0.749 0.842
Pm2 0.907 0.907 0.158
Pm3 0.749 0.093 0.842
Pm4 0.251 0.251 0.158
Sm1 0.915 0.459 0.374
Sm2 0.459 0.915 0.374
Sm3 0.541 0.541 0.626
Sm4 0.000 0.500 0.000
Sm5 0.085 0.085 0.626
Sm6 0.500 0.000 0.000
Dy1 0.500 0.500 0.000

Q: Which formula does entry 4 have?
A: SmYPb2